[1]
The following is a DFT calculation (GGA-PBE) of a relaxed LiMgAgI2 crystal.

Structure (extended XYZ):
```
5
Lattice="5.838 0.000 0.000 0.000 5.838 0.000 0.000 0.000 5.293" Properties=species:S:1:pos:R:3 pbc="T T T"
Li 0.000 0.000 0.000
Mg 2.919 2.919 2.646
Ag 2.919 2.919 0.000
I 0.000 2.919 2.646
I 2.919 0.000 2.646
```

E_form (uncorrected) (meV/atom): -257
Space-group type: P4/mmm, No. 123

[2]
The following is a DFT calculation (GGA-PBE) of a relaxed FeCuSi2 crystal.

Structure (extended XYZ):
```
8
Lattice="-2.628 2.628 5.196 2.628 -2.628 5.196 2.628 2.628 -5.196" Properties=species:S:1:pos:R:3 pbc="T T T"
Fe 0.000 0.000 0.000
Fe 0.000 2.628 2.598
Cu 2.628 0.000 2.598
Cu 0.000 0.000 5.196
Si 3.943 1.182 -1.299
Si 1.182 1.314 1.299
Si -1.314 1.446 3.897
Si 1.446 1.314 6.495
```

E_form (uncorrected) (meV/atom): 622
Space-group type: I-42d, No. 122

[3]
The following is a DFT calculation (GGA-PBE) of a relaxed Pr12Dy7Th crystal.

Structure (extended XYZ):
```
20
Lattice="9.916 5.725 2.099 -9.916 5.725 2.099 0.000 -11.450 2.099" Properties=species:S:1:pos:R:3 pbc="T T T"
Pr -3.507 -2.036 1.811
Pr -4.076 -7.066 3.141
Pr -8.157 -0.003 3.156
Pr -0.010 4.055 1.811
Pr 3.516 -2.019 1.811
Pr -4.081 7.063 3.141
Pr 4.081 -7.063 3.156
Pr -3.516 2.019 4.486
Pr 0.010 -4.055 4.486
Pr 8.157 0.003 3.141
Pr 4.076 7.066 3.156
Pr 3.507 2.036 4.486
Dy -2.449 1.404 1.388
Dy 0.009 -2.823 1.388
Dy 2.441 1.419 1.388
Dy 0.000 0.000 3.149
Dy -2.441 -1.419 4.910
Dy -0.009 2.823 4.910
Dy 2.449 -1.404 4.910
Th 0.000 0.000 0.000
```

Space-group type: R-3, No. 148
Energy above the most stable polymorph in this dataset (eV per atom): 0.043
Formation enthalpy at 0 K (meV/atom): 261

[4]
The following is a DFT calculation (GGA-PBE) of a relaxed LuGa2Rh crystal.

Structure (extended XYZ):
```
4
Lattice="3.975 0.000 0.000 0.000 3.975 0.000 0.000 0.000 4.456" Properties=species:S:1:pos:R:3 pbc="T T T"
Lu 0.000 0.000 0.000
Ga 0.000 1.987 2.228
Ga 1.987 0.000 2.228
Rh 1.987 1.987 0.000
```

Space-group type: P4/mmm, No. 123
Formation enthalpy at 0 K (meV/atom): -591

[5]
The following is a DFT calculation (GGA-PBE) of a relaxed MnHgTe2 crystal.

Structure (extended XYZ):
```
4
Lattice="5.125 0.000 0.000 0.000 5.125 0.000 0.000 0.000 3.840" Properties=species:S:1:pos:R:3 pbc="T T T"
Mn 0.000 0.000 0.000
Hg 2.562 2.562 0.000
Te 0.000 2.562 1.920
Te 2.562 0.000 1.920
```

E_form (uncorrected) (meV/atom): 334
Space-group type: P4/mmm, No. 123

[6]
The following is a DFT calculation (GGA-PBE) of a relaxed AlRhPb2 crystal.

Structure (extended XYZ):
```
4
Lattice="1.632 0.942 9.940 -1.632 0.942 9.940 0.000 -1.885 9.940" Properties=species:S:1:pos:R:3 pbc="T T T"
Al 0.000 0.000 0.000
Rh 0.000 0.000 8.328
Pb 0.000 0.000 15.983
Pb 0.000 0.000 22.608
```

Space-group type: R3m, No. 160
Formation enthalpy at 0 K (meV/atom): -68

[7]
The following is a DFT calculation (GGA-PBE) of a relaxed NdDy3In2 crystal.

Structure (extended XYZ):
```
12
Lattice="5.238 0.000 0.000 0.000 9.898 0.000 0.000 0.000 6.756" Properties=species:S:1:pos:R:3 pbc="T T T"
Nd 0.000 0.374 0.000
Nd 0.000 9.524 3.378
Dy 0.000 3.190 4.370
Dy 0.000 6.708 0.992
Dy 2.619 1.833 1.872
Dy 2.619 4.552 6.270
Dy 2.619 5.346 2.892
Dy 2.619 8.065 5.250
In 0.000 3.561 1.180
In 0.000 6.337 4.557
In 2.619 1.440 5.049
In 2.619 8.458 1.671
```

Space-group type: Pmc2_1, No. 26
Energy above the most stable polymorph in this dataset (eV per atom): 0.000
Formation enthalpy at 0 K (meV/atom): -353

[8]
The following is a DFT calculation (GGA-PBE) of a relaxed UMnAs2Ru crystal.

Structure (extended XYZ):
```
5
Lattice="-2.061 2.061 4.990 2.061 -2.061 4.990 2.061 2.061 -4.990" Properties=species:S:1:pos:R:3 pbc="T T T"
U 0.000 0.000 0.000
Mn 0.000 2.061 2.495
As 0.000 0.000 3.719
As 0.000 0.000 6.261
Ru 2.061 0.000 2.495
```

Space-group type: I-4m2, No. 119
Formation enthalpy at 0 K (meV/atom): -345

[9]
The following is a DFT calculation (GGA-PBE) of a relaxed KSr2HgO crystal.

Structure (extended XYZ):
```
5
Lattice="5.104 0.000 0.000 0.000 5.104 0.000 0.000 0.000 5.607" Properties=species:S:1:pos:R:3 pbc="T T T"
K 0.000 0.000 0.000
Sr 0.000 2.552 2.803
Sr 2.552 0.000 2.803
Hg 2.552 2.552 0.000
O 0.000 0.000 2.803
```

E_form (uncorrected) (meV/atom): -1106
Space-group type: P4/mmm, No. 123

[10]
The following is a DFT calculation (GGA-PBE) of a relaxed CrNi3S crystal.

Structure (extended XYZ):
```
5
Lattice="4.274 0.000 0.000 0.000 4.274 0.000 0.000 0.000 4.274" Properties=species:S:1:pos:R:3 pbc="T T T"
Cr 0.000 0.000 0.000
Ni 0.000 0.000 2.137
Ni 0.000 2.137 0.000
Ni 2.137 0.000 0.000
S 2.137 2.137 2.137
```

E_form (uncorrected) (meV/atom): 1311
Space-group type: Pm-3m, No. 221
Energy above the most stable polymorph in this dataset (eV per atom): 1.120

[11]
The following is a DFT calculation (GGA-PBE) of a relaxed Li2CaInAu2 crystal.

Structure (extended XYZ):
```
6
Lattice="4.608 0.000 0.000 -2.304 3.991 0.000 0.000 0.000 6.597" Properties=species:S:1:pos:R:3 pbc="T T T"
Li 0.000 2.660 1.284
Li 2.304 1.330 5.314
Ca 0.000 0.000 3.299
In 0.000 0.000 0.000
Au 0.000 2.660 5.108
Au 2.304 1.330 1.489
```

Space-group type: P-3m1, No. 164
Formation enthalpy at 0 K (meV/atom): -561

[12]
The following is a DFT calculation (GGA-PBE) of a relaxed Sm4Cd2GaAg crystal.

Structure (extended XYZ):
```
8
Lattice="2.645 1.527 8.693 -2.645 1.527 8.693 0.000 -3.054 8.693" Properties=species:S:1:pos:R:3 pbc="T T T"
Sm 0.000 0.000 3.208
Sm 0.000 0.000 9.727
Sm 0.000 0.000 16.351
Sm 0.000 0.000 22.870
Cd 0.000 0.000 6.494
Cd 0.000 0.000 19.584
Ga 0.000 0.000 0.000
Ag 0.000 0.000 13.039
```

Space-group type: R-3m, No. 166
Formation enthalpy at 0 K (meV/atom): -356

[13]
The following is a DFT calculation (GGA-PBE) of a relaxed TcHg2Ru crystal.

Structure (extended XYZ):
```
4
Lattice="2.930 0.000 0.000 0.000 2.914 0.000 -0.862 0.000 8.573" Properties=species:S:1:pos:R:3 pbc="T T T"
Tc 0.000 0.000 0.000
Hg 0.017 0.000 3.689
Hg 0.593 1.457 6.393
Ru 1.469 1.457 1.520
```

Space-group type: Pm, No. 6
Energy above the most stable polymorph in this dataset (eV per atom): 0.000
Formation enthalpy at 0 K (meV/atom): 253

[14]
The following is a DFT calculation (GGA-PBE) of a relaxed CoTcIr2 crystal.

Structure (extended XYZ):
```
4
Lattice="2.707 0.000 0.000 0.000 3.773 0.000 0.000 0.000 5.354" Properties=species:S:1:pos:R:3 pbc="T T T"
Co 0.000 0.000 0.000
Tc 0.000 0.000 2.677
Ir 1.354 1.886 1.306
Ir 1.354 1.886 4.048
```

Space-group type: Pmmm, No. 47
Energy above the most stable polymorph in this dataset (eV per atom): 0.000
Formation enthalpy at 0 K (meV/atom): -87

[15]
The following is a DFT calculation (GGA-PBE) of a relaxed K2Ti3AgO8 crystal.

Structure (extended XYZ):
```
14
Lattice="3.065 1.769 6.474 -3.065 1.769 6.474 0.000 -3.539 6.474" Properties=species:S:1:pos:R:3 pbc="T T T"
K 0.000 0.000 0.000
K 0.000 0.000 6.969
Ti -1.557 -0.899 16.091
Ti 1.557 -0.899 16.091
Ti 0.000 1.797 16.091
Ag 0.000 0.000 11.238
O -1.762 -1.017 10.780
O 0.000 0.000 4.259
O 0.000 -1.936 8.691
O -1.677 0.968 8.691
O 1.762 -1.017 10.780
O 0.000 2.035 10.780
O 0.000 0.000 15.098
O 1.677 0.968 8.691
```

E_form (uncorrected) (meV/atom): -2249
Space-group type: R3m, No. 160

[16]
The following is a DFT calculation (GGA-PBE) of a relaxed ReAg2Ru crystal.

Structure (extended XYZ):
```
4
Lattice="1.392 -2.334 0.000 1.392 2.334 0.000 0.000 0.000 9.943" Properties=species:S:1:pos:R:3 pbc="T T T"
Re 0.000 0.000 0.000
Ag 1.392 0.000 2.512
Ag 1.392 0.000 7.431
Ru 0.000 0.000 4.972
```

Space-group type: Cmmm, No. 65
Energy above the most stable polymorph in this dataset (eV per atom): 0.418
Formation enthalpy at 0 K (meV/atom): 667

[17]
The following is a DFT calculation (GGA-PBE) of a relaxed Ce4NCl5 crystal.

Structure (extended XYZ):
```
10
Lattice="8.676 -1.880 0.000 8.676 1.880 0.000 -1.990 0.000 7.784" Properties=species:S:1:pos:R:3 pbc="T T T"
Ce -0.526 0.000 2.265
Ce 5.297 0.000 3.257
Ce 10.065 0.000 4.527
Ce 15.888 0.000 5.519
N 7.681 0.000 3.892
Cl 1.143 0.000 6.617
Cl 2.347 0.000 2.554
Cl 8.676 0.000 0.000
Cl 13.015 0.000 5.230
Cl 14.219 0.000 1.167
```

E_form (uncorrected) (meV/atom): -1807
Space-group type: C2/m, No. 12

[18]
The following is a DFT calculation (GGA-PBE) of a relaxed TaW8 crystal.

Structure (extended XYZ):
```
9
Lattice="-4.799 4.799 1.596 4.799 -4.799 1.596 4.799 4.799 -1.596" Properties=species:S:1:pos:R:3 pbc="T T T"
Ta 0.000 0.000 0.000
W 3.205 0.000 0.000
W 6.393 0.000 0.000
W 3.182 3.182 0.000
W 1.617 -1.617 1.596
W 0.000 3.205 0.000
W 0.000 6.393 0.000
W -1.617 1.617 1.596
W 1.617 1.617 1.596
```

Space-group type: I4/mmm, No. 139
Formation enthalpy at 0 K (meV/atom): -53

[19]
The following is a DFT calculation (GGA-PBE) of a relaxed MgTe4F2 crystal.

Structure (extended XYZ):
```
7
Lattice="-2.601 2.601 8.205 2.601 -2.601 8.205 2.601 2.601 -8.205" Properties=species:S:1:pos:R:3 pbc="T T T"
Mg 0.000 0.000 0.000
Te 2.601 0.000 0.000
Te 0.000 0.000 3.919
Te 0.000 2.601 0.000
Te 0.000 0.000 12.492
F 0.000 0.000 5.861
F 0.000 0.000 10.549
```

E_form (uncorrected) (meV/atom): -359
Space-group type: I4/mmm, No. 139

[20]
The following is a DFT calculation (GGA-PBE) of a relaxed Tb5Pr4Y crystal.

Structure (extended XYZ):
```
10
Lattice="4.242 0.000 0.000 0.000 4.242 0.000 0.000 0.000 18.811" Properties=species:S:1:pos:R:3 pbc="T T T"
Tb 0.000 0.000 0.000
Tb 0.000 0.000 3.785
Tb 0.000 0.000 7.579
Tb 0.000 0.000 11.232
Tb 0.000 0.000 15.026
Pr 2.121 2.121 1.912
Pr 2.121 2.121 5.644
Pr 2.121 2.121 13.167
Pr 2.121 2.121 16.899
Y 2.121 2.121 9.405
```

Space-group type: P4/mmm, No. 123
Energy above the most stable polymorph in this dataset (eV per atom): 0.000
Formation enthalpy at 0 K (meV/atom): 105

Number 1: size of the total moment 0.000 μB/f.u.. Number 2: size of the total moment 0.000 μB/f.u.. Number 3: size of the total moment 0.000 μB/f.u.. Number 4: size of the total moment 0.000 μB/f.u.. Number 5: size of the total moment 4.604 μB/f.u.. Number 6: size of the total moment 0.000 μB/f.u.. Number 7: size of the total moment 0.000 μB/f.u.. Number 8: size of the total moment 1.369 μB/f.u.. Number 9: size of the total moment 0.000 μB/f.u.. Number 10: size of the total moment 1.509 μB/f.u.. Number 11: size of the total moment 0.000 μB/f.u.. Number 12: size of the total moment 0.003 μB/f.u.. Number 13: size of the total moment 0.000 μB/f.u.. Number 14: size of the total moment 1.329 μB/f.u.. Number 15: size of the total moment 0.876 μB/f.u.. Number 16: size of the total moment 0.499 μB/f.u.. Number 17: size of the total moment 4.119 μB/f.u.. Number 18: size of the total moment 0.000 μB/f.u.. Number 19: size of the total moment 0.000 μB/f.u.. Number 20: size of the total moment 0.000 μB/f.u..